VASP calculation (GGA-PBE) on a relaxed KSc2Sb crystal.

Properties
DOS(E_F) = 0.8219 states/eV per atom
final energy = -4.450 eV/atom
formation energy without anion corrections = 8 kJ/mol of formula units

a = 4.818 Å, b = 4.818 Å, c = 4.580 Å
α = 90.00°, β = 90.00°, γ = 90.00°
Space group P4/mmm (No. 123)
Asymmetric unit:
K 0.000 0.000 0.000
Sc 0.000 0.500 0.500
Sb 0.500 0.500 0.000